# 1
This record from Alexandria via LeMat-Bulk describes a relaxed structure of TbTlIr. The functional is PBE.

Properties
For the formation energy, the calculation gives -1.4 eV per formula unit. The calculation puts the electronic total energy at -5.742 eV per atom.

The structure in POSCAR format:
```
TbTlIr
1.0
4.2405 0.0000 0.0000
0.0000 8.7920 0.0000
0.0000 0.0000 7.1947
Ir Tl Tb
4 4 4
Direct
0.7500 0.8703 0.7366
0.2500 0.1297 0.2634
0.2500 0.3703 0.7634
0.7500 0.6297 0.2366
0.2500 0.0628 0.8528
0.7500 0.5628 0.6472
0.2500 0.4372 0.3528
0.7500 0.9372 0.1472
0.2500 0.6768 0.9621
0.7500 0.1768 0.5379
0.2500 0.8232 0.4621
0.7500 0.3232 0.0379
```

---

# 2
This record from Alexandria via LeMat-Bulk describes a relaxed structure of TlGa2Cu. The functional is PBE.

Properties
For the formation energy, the calculation gives 0.7 eV per formula unit. The calculation puts the electronic total energy at -2.955 eV per atom. The excess energy over the best structure of this formula in the dataset is 0.37 eV per formula unit.

The structure in POSCAR format:
```
TlGa2Cu
1.0
4.4739 0.0000 0.0000
0.0000 4.4739 0.0000
2.2370 2.2370 8.5348
Ga Cu Tl
4 2 2
Direct
0.2217 0.6250 0.2500
0.3750 0.4717 0.7500
0.5283 0.1250 0.2500
0.8750 0.7783 0.7500
0.2500 0.7500 0.5000
0.5000 0.5000 0.0000
0.0000 0.0000 0.0000
0.7500 0.2500 0.5000
```